10
Lattice="-2.1031 2.8026 -2.1011 4.0885 -0.0497 -4.1587 -6.1008 -8.9068 -1.8020" Properties=species:S:1:pos:R:3 comment="Y4ThSe5, relaxed, DFT PBE" raw_formation_energy_ev_per_atom=-1.71 pbc="T T T"
Y -4.1133 -6.0639 -3.9714
Y -2.0638 -3.1296 -6.0810
Y -2.0515 -3.0244 -1.9807
Y -0.0020 -0.0900 -4.0903
Th 0.0000 0.0000 0.0000
Se -2.1242 -0.1801 -2.0862
Se -4.1264 -3.1316 -4.0193
Se 0.0110 -3.0223 -4.0424
Se 2.0443 -0.0249 -2.0794
Se -1.9911 -5.9738 -5.9755


28
Lattice="-1.2656 3.3764 0.4806 0.6860 -1.3314 11.1609 12.8970 4.8647 -0.2124" Properties=species:S:1:pos:R:3 comment="FeSb2S4, relaxed, DFT PBE" raw_formation_energy_ev_per_atom=-0.21 pbc="T T T"
Fe 4.3141 2.0638 3.7459
Fe 2.2993 0.5087 9.3652
Fe 8.0034 4.8459 7.6832
Fe 10.0181 6.4009 2.0639
Sb 0.7903 1.0243 1.7684
Sb 5.5731 2.0333 7.2758
Sb 11.5271 5.8853 9.6606
Sb 6.7444 4.8764 4.1533
Sb 4.0733 4.3764 0.6312
Sb 0.8632 2.3705 6.2702
Sb 8.2442 2.5332 10.7978
Sb 11.4542 4.5391 5.1589
S 2.8703 3.6286 2.7170
S 2.3199 2.6259 8.3121
S 9.4471 3.2810 8.7121
S 9.9976 4.2837 3.1169
S 2.4379 1.2406 4.5881
S 4.2751 1.1385 10.1439
S 9.8795 5.6690 6.8410
S 8.0424 5.7712 1.2851
S 6.1048 2.8964 2.6120
S 0.3729 -0.0607 8.2925
S 6.2126 4.0133 8.8170
S 11.9445 6.9703 3.1365
S 4.5395 3.9050 5.1709
S 0.9555 1.7581 10.8161
S 7.7780 3.0046 6.2581
S 11.3619 5.1515 0.6130


4
Lattice="0.0000 4.0202 4.0202 4.0202 0.0000 4.0202 4.0202 4.0202 0.0000" Properties=species:S:1:pos:R:3 comment="La2YTl, relaxed, DFT PBE" e_form_ev_per_atom=-0.08 pbc="T T T"
Y 0.0000 0.0000 0.0000
Tl 4.0202 4.0202 4.0202
La 2.0101 2.0101 2.0101
La 6.0303 6.0303 6.0303


18
Lattice="-0.5759 0.1586 5.4870 -9.3583 -1.4581 -3.7161 1.4333 -10.3447 0.4495" Properties=species:S:1:pos:R:3 comment="TbHoEr5Tm2, relaxed, DFT PBE" e_form_ev_per_atom=0.16 pbc="T T T"
Tb -5.3436 -6.0365 2.3897
Tb -3.8418 -0.6675 -0.3839
Ho -0.5793 -10.0349 3.0053
Ho -7.3345 -5.8461 -0.6008
Er -7.5140 -1.3182 -0.7506
Er -3.3438 -8.8798 2.6818
Er -8.1786 -8.9483 -0.5997
Er -4.7761 -8.1524 -0.2656
Er -8.8342 -6.6830 2.0420
Er -1.6372 -5.6325 2.7670
Er -4.9912 -3.9610 -0.4094
Er -0.3584 -2.4352 2.8088
Er -3.8450 -2.6240 2.4483
Er -0.3110 -0.3104 -0.0237
Tm -6.5787 -9.4513 2.3588
Tm -1.0489 -7.9371 0.1194
Tm -1.7268 -3.6034 -0.0771
Tm -7.4859 -3.4619 2.0904


3
Lattice="-2.8075 -1.4541 0.3235 1.6912 -2.2977 4.3486 -2.3660 4.6246 0.2536" Properties=species:S:1:pos:R:3 comment="CePuPa, relaxed, DFT PBE" e_form_ev_per_atom=0.13 pbc="T T T"
Pa -1.9497 1.8324 1.7264
Ce -2.0047 -1.2040 3.2536
Pu -2.3356 -1.2097 0.2691


4
Lattice="-1.2459 3.0561 2.2115 -2.7358 0.2476 -1.8834 -5.1753 -5.0228 4.0255" Properties=species:S:1:pos:R:3 comment="Tl2TePt, relaxed, DFT PBE" raw_formation_energy_ev_per_atom=-0.05 pbc="T T T"
Pt -4.3897 -2.2362 0.6172
Te -5.8524 -1.8260 2.7945
Tl -2.6266 0.1436 -1.6782
Tl -2.9796 0.0595 1.8074


5
Lattice="4.3872 0.0000 0.0000 2.1936 5.1329 0.4347 2.1936 1.5495 4.9127" Properties=species:S:1:pos:R:3 comment="Pu2Cu2Sn, relaxed, DFT PBE" e_form_ev_per_atom=-0.15 pbc="T T T"
Pu 6.5808 4.6686 3.7359
Pu 2.1936 2.0139 1.6115
Cu 4.3872 2.5731 3.6337
Cu 4.3872 4.1094 1.7137
Sn 0.0000 0.0000 0.0000


5
Lattice="-4.6543 3.1024 0.0873 -2.0311 -3.1638 4.1425 2.3467 3.4148 3.7586" Properties=species:S:1:pos:R:3 comment="NaBr3Cl, relaxed, DFT PBE" raw_formation_energy_ev_per_atom=0.01 pbc="T T T"
Na 0.0000 0.0000 0.0000
Br -1.0155 -1.5819 2.0712
Br 1.1733 1.7074 1.8793
Br -2.3272 1.5512 0.0437
Cl -2.1694 1.6767 3.9942